# Sr2HgP

A crystal of Sr2HgP relaxed with PBEsol (meta-GGA SCAN, Alexandria).

Results
**Symmetry**: R-3m, No. 166
**ΔE to the lowest computed polymorph**: 17 meV/atom

Unit cell a=4.4409 b=4.4409 c=7.9556 alpha=73.79 beta=73.79 gamma=60.00
Fractional coordinates of all 4 atoms:
Sr1 0.2654 0.2654 0.2037
Sr2 0.7346 0.7346 0.7963
Hg1 0.5000 0.5000 0.5000
P1 0.0000 0.0000 0.0000